Density functional theory data (PBE-GGA) for a relaxed structure of Sn2I3N2.

Properties
Raw formation energy ... 0.39 eV per atom
Size of the total moment ... 0.0 μB/f.u.
N(E_F) ... 0.339 states/eV per atom

Cell: 8.574 21.509 7.837 Å, 73.98 50.95 25.76°
Atoms (fractional coordinates):
N  0.239  0.143  0.555
N  0.761  0.857  0.445
I  0.500  0.000  0.000
I  0.627  0.412  0.665
I  0.373  0.588  0.335
Sn  0.363  0.744  0.970
Sn  0.637  0.256  0.030